Compound: K4SbTe5
Source: Alexandria
Functional: GGA-PBE
Structure: optimized geometry

abc: 11.0479 11.0479 7.1954
angles: 90.00 90.00 90.00
Last column: nearest neighbours and their distance in Å.
Space group I4 (No. 79)
One atom of each set of equivalent atoms:
K: 0.0945 0.7052 0.0000 [8 per cell]  5 Te 3.43-3.67
Sb: 0.0000 0.0000 0.5920 [2 per cell]  5 Te 2.75-2.88
Te: 0.0000 0.0000 0.9740 [2 per cell]  1 Sb 2.75
Te: 0.0751 0.7576 0.4987 [8 per cell]  1 Sb 2.88

D(E_F)   0.50 states/eV/atom
Formation energy from raw total energies   -553 meV per atom
Crystal system   tetragonal